This record from the Alexandria database describes CaMg6Hg12 after structural relaxation. The functional is PBE.

Cell: 13.6861 13.6861 8.1519 Å, 90.00 90.00 120.00°
Space group R-3 (No. 148, hexagonal axes)
Asymmetric unit:
Ca: 0.0000 0.0000 0.0000
Mg: 0.0207 0.7586 0.3102
Hg: 0.0045 0.8640 0.6594
Hg: 0.0613 0.4904 0.6878

Results
Total magnetization in μB/atom: 0.000
Energy above the most stable polymorph in this dataset in eV per atom: 0.000
Final energy in eV per atom: -0.976
Energy of formation from the pure elements in eV per formula unit: -3.4


This record from the Alexandria database describes Ca4Mg3Hg after structural relaxation. The functional is PBE.

Cell: 3.798 3.798 16.674 Å, 90.00 90.00 90.00°
Space group P4/mmm (No. 123)
Asymmetric unit:
Ca: 0.000 0.000 0.111
Ca: 0.000 0.000 0.371
Mg: 0.500 0.500 0.244
Mg: 0.500 0.500 0.500
Hg: 0.500 0.500 0.000

Results
Total magnetization in μB/atom: 0.000
Final energy in eV per atom: -1.836
Energy of formation from the pure elements in eV per formula unit: -1.6